DFT (PBE) results for an optimized crystal structure of Pr8Ge3BiTe4.

Cell: 8.943 9.025 8.943 Å, 119.70 120.00 90.00°
Fractional coordinates of all 16 atoms:
1 Te 0.500 0.000 0.000
2 Ge 0.000 0.500 0.500
3 Te 0.500 0.000 0.500
4 Pr 0.742 0.725 0.484
5 Ge 0.500 0.500 0.500
6 Ge 0.500 0.500 0.000
7 Pr 0.731 0.730 0.981
8 Te 0.000 0.000 0.500
9 Pr 0.751 0.270 0.019
10 Bi 0.000 0.500 0.000
11 Pr 0.751 0.270 0.501
12 Pr 0.249 0.730 0.981
13 Pr 0.269 0.270 0.019
14 Te 0.000 0.000 0.000
15 Pr 0.249 0.730 0.499
16 Pr 0.258 0.275 0.516

Properties
* total DFT energy (no corrections): -5.508 eV/atom
* magnetic moment: 0.00 μB per formula unit
* formation energy without anion corrections: -1.224 eV/atom
* SG: R-3m
* crystal system: trigonal